{"formula": "LuHfTcNi", "functional": "PBE", "state": "relaxed", "cell": [[0.000, 3.272, 3.272], [3.272, 0.000, 3.272], [3.272, 3.272, 0.000]], "species": ["Lu", "Hf", "Tc", "Ni"], "frac_coords": [[0.000, 0.000, 0.000], [0.500, 0.500, 0.500], [0.750, 0.750, 0.750], [0.250, 0.250, 0.250]], "magmom_total_mub_per_fu": 0.0, "energy_ev_per_cell": -32.14}

---

{"formula": "OsRuPt", "functional": "PBE", "state": "relaxed", "cell": [[-1.364, 1.364, 5.895], [1.364, -1.364, 5.895], [1.364, 1.364, -5.895]], "species": ["Os", "Ru", "Pt"], "frac_coords": [[0.000, 0.000, 0.000], [0.651, 0.651, 0.000], [0.326, 0.326, 0.000]], "magmom_total_mub_per_fu": 0.0, "energy_ev_per_cell": -26.50}

---

{"formula": "ZrCuAsPb2", "functional": "PBE", "state": "relaxed", "cell": [[5.504, 0.000, 0.000], [0.000, 5.504, 0.000], [0.000, 0.000, 5.283]], "species": ["Zr", "Cu", "As", "Pb", "Pb"], "frac_coords": [[0.000, 0.000, 0.000], [0.500, 0.500, 0.000], [0.000, 0.000, 0.500], [0.000, 0.500, 0.500], [0.500, 0.000, 0.500]], "magmom_total_mub_per_fu": 0.0, "energy_ev_per_cell": -21.11}